Compound: CaVBiO5
Source: Alexandria
Functional: PBEsol
Structure: optimized geometry

CIF file:
```
data_CaVBiO5
_cell_length_a 5.437
_cell_length_b 15.532
_cell_length_c 11.164
_cell_angle_alpha 90.00
_cell_angle_beta 90.00
_cell_angle_gamma 90.00
_space_group_name_H-M_alt 'P 1'
_space_group_IT_number 1
loop_
_space_group_symop_operation_xyz
'x,y,z'
loop_
_atom_site_label
_atom_site_type_symbol
_atom_site_fract_x
_atom_site_fract_y
_atom_site_fract_z
Ca1 Ca 0.006 0.053 0.141
Ca2 Ca 0.006 0.447 0.641
Ca3 Ca 0.494 0.553 0.141
Ca4 Ca 0.494 0.947 0.641
Ca5 Ca 0.506 0.053 0.359
Ca6 Ca 0.506 0.447 0.859
Ca7 Ca 0.994 0.553 0.359
Ca8 Ca 0.994 0.947 0.859
V1 V 0.011 0.098 0.596
V2 V 0.011 0.402 0.096
V3 V 0.489 0.598 0.596
V4 V 0.489 0.902 0.096
V5 V 0.511 0.098 0.904
V6 V 0.511 0.402 0.404
V7 V 0.989 0.598 0.904
V8 V 0.989 0.902 0.404
Bi1 Bi 0.046 0.733 0.152
Bi2 Bi 0.046 0.767 0.652
Bi3 Bi 0.454 0.233 0.152
Bi4 Bi 0.454 0.267 0.652
Bi5 Bi 0.546 0.733 0.348
Bi6 Bi 0.546 0.767 0.848
Bi7 Bi 0.954 0.233 0.348
Bi8 Bi 0.954 0.267 0.848
O1 O 0.059 0.195 0.674
O2 O 0.059 0.305 0.174
O3 O 0.127 0.524 0.816
O4 O 0.127 0.976 0.316
O5 O 0.176 0.625 0.024
O6 O 0.176 0.875 0.524
O7 O 0.208 0.566 0.546
O8 O 0.208 0.934 0.046
O9 O 0.243 0.154 0.269
O10 O 0.243 0.346 0.769
O11 O 0.257 0.654 0.269
O12 O 0.257 0.846 0.769
O13 O 0.292 0.066 0.546
O14 O 0.292 0.434 0.046
O15 O 0.324 0.125 0.024
O16 O 0.324 0.375 0.524
O17 O 0.373 0.024 0.816
O18 O 0.373 0.476 0.316
O19 O 0.441 0.695 0.674
O20 O 0.441 0.805 0.174
O21 O 0.559 0.195 0.826
O22 O 0.559 0.305 0.326
O23 O 0.627 0.524 0.684
O24 O 0.627 0.976 0.184
O25 O 0.676 0.625 0.476
O26 O 0.676 0.875 0.976
O27 O 0.708 0.566 0.954
O28 O 0.708 0.934 0.454
O29 O 0.743 0.154 0.231
O30 O 0.743 0.346 0.731
O31 O 0.757 0.654 0.231
O32 O 0.757 0.846 0.731
O33 O 0.792 0.066 0.954
O34 O 0.792 0.434 0.454
O35 O 0.824 0.125 0.476
O36 O 0.824 0.375 0.976
O37 O 0.873 0.024 0.684
O38 O 0.873 0.476 0.184
O39 O 0.941 0.695 0.826
O40 O 0.941 0.805 0.326
```

- total magnetization (μB per formula unit) = 0.00
- formation energy (no corrections) (eV per atom) = -2.34
- polymorph energy (0 for the lowest one) (meV per atom) = 0